# 1
# Pr3SmIr8

A geometry-optimized Pr3SmIr8 structure (GGA-PBE, Alexandria).

Formation energy from the elements = -0.68 eV per atom
E_tot = -8.18 eV per atom
Total moment = 0.0 μB/f.u.

a = 5.4503 Å, b = 5.4503 Å, c = 9.4322 Å
α = 73.21°, β = 73.21°, γ = 60.00°
Positions (direct):
Pr 0.3751 0.3751 0.8747
Pr 0.9997 0.9997 0.0008
Pr 0.5002 0.5002 0.4995
Sm 0.8749 0.8749 0.3752
Ir 0.9367 0.4372 0.1890
Ir 0.4386 0.9377 0.6861
Ir 0.4372 0.4372 0.1890
Ir 0.9377 0.9377 0.6861
Ir 0.1876 0.1876 0.4372
Ir 0.6875 0.6875 0.9375
Ir 0.4372 0.9367 0.1890
Ir 0.9377 0.4386 0.6861

# 2
# Pr3SmIr

A geometry-optimized Pr3SmIr structure (GGA-PBE, Alexandria).

Formation energy from the elements = -0.12 eV per atom
E above lowest polymorph = 0.115 eV/atom
E_tot = -5.70 eV per atom
Total moment = 0.4 μB/f.u.

a = 5.6643 Å, b = 5.6643 Å, c = 5.6643 Å
α = 90.00°, β = 90.00°, γ = 90.00°
Positions (direct):
Pr 0.0000 0.5000 0.0000
Pr 0.0000 0.0000 0.5000
Pr 0.5000 0.0000 0.0000
Ir 0.0000 0.0000 0.0000
Sm 0.5000 0.5000 0.5000

# 3
# PrSmIr

A geometry-optimized PrSmIr structure (GGA-PBE, Alexandria).

Formation energy from the elements = -0.53 eV per atom
E above lowest polymorph = 0.006 eV/atom
E_tot = -6.65 eV per atom
Total moment = 0.0 μB/f.u.

a = 7.6032 Å, b = 9.6018 Å, c = 8.9548 Å
α = 122.42°, β = 115.12°, γ = 90.00°
Positions (direct):
Pr 0.7508 0.0463 0.5926
Pr 0.1583 0.9537 0.4074
Pr 0.3470 0.7500 0.0001
Pr 0.3469 0.2500 0.9999
Pr 0.1584 0.4537 0.4074
Pr 0.7510 0.5463 0.5926
Sm 0.0174 0.0000 0.0000
Sm 0.0174 0.5000 0.0000
Sm 0.4898 0.3680 0.7359
Sm 0.7540 0.6320 0.2641
Sm 0.7540 0.1321 0.2641
Sm 0.4898 0.8679 0.7359
Ir 0.7527 0.2500 0.9999
Ir 0.7528 0.7500 0.0001
Ir 0.4212 0.1664 0.3327
Ir 0.0885 0.8336 0.6673
Ir 0.0885 0.3337 0.6673
Ir 0.4212 0.6663 0.3327

# 4
# PrSmIr2

A geometry-optimized PrSmIr2 structure (GGA-PBE, Alexandria).

Formation energy from the elements = -0.63 eV per atom
E above lowest polymorph = 0.000 eV/atom
E_tot = -7.43 eV per atom
Total moment = 0.0 μB/f.u.

a = 4.0930 Å, b = 4.2285 Å, c = 5.8077 Å
α = 90.00°, β = 110.62°, γ = 90.00°
Positions (direct):
Pr 0.4357 0.5000 0.4104
Sm 0.7273 0.0000 0.9936
Ir 0.1596 0.5000 0.8581
Ir 0.0084 0.0000 0.5560

> Which value of total moment does entry 4 give?

0.0 μB/f.u.

> The lowest E_tot belongs to which entry?

Pr3SmIr8

> Which of these has the lowest E_tot?

Pr3SmIr8